The following is a GGA-PBEsol calculation of crystalline LaSi2Ni at its relaxed geometry, from the Alexandria database.

a = 5.8253 Å, b = 5.8253 Å, c = 5.8253 Å
α = 39.19°, β = 39.19°, γ = 39.19°
With the nearest neighbours (Å) after each atom.
Positions (direct):
La: 0.0000 0.0000 0.0000  8 Si 3.04-3.33
Si: 0.2065 0.2065 0.2065  3 Ni 2.35, 3 Si 2.60
Si: 0.7935 0.7935 0.7935  3 Ni 2.35, 3 Si 2.60
Ni: 0.5000 0.5000 0.5000  6 Si 2.35

- energy relative to the elements, uncorrected (eV/atom) = -0.837

The following is a GGA-PBEsol calculation of crystalline La3Si7Ni3 at its relaxed geometry, from the Alexandria database.

a = 4.1709 Å, b = 13.1073 Å, c = 13.1073 Å
α = 18.01°, β = 90.00°, γ = 90.00°
With the nearest neighbours (Å) after each atom.
Positions (direct):
La: 0.0000 0.0000 0.0000  10 Si 3.09-3.17, 4 Ni 3.23
La: 0.0000 0.3673 0.3673  10 Si 3.11-3.20, 5 Ni 3.18-3.42
La: 0.5000 0.6847 0.6847  12 Si 3.08-3.19, 5 Ni 3.20-3.42
Si: 0.0000 0.1481 0.1481  1 Ni 2.25, 2 Si 2.52
Si: 0.0000 0.5915 0.5915  2 Ni 2.31, 2 Si 2.52
Si: 0.0000 0.7773 0.7773  4 Ni 2.32-2.35
Si: 0.5000 0.0920 0.0920  2 Ni 2.29, 2 Si 2.54
Si: 0.5000 0.2769 0.2769  4 Ni 2.33-2.35
Si: 0.5000 0.4612 0.4612  1 Ni 2.37, 2 Si 2.46
Si: 0.5000 0.9088 0.9088  1 Ni 2.32, 2 Si 2.46
Ni: 0.0000 0.2351 0.2351  5 Si 2.25-2.35
Ni: 0.5000 0.5527 0.5527  5 Si 2.29-2.37
Ni: 0.5000 0.8194 0.8194  5 Si 2.32-2.35

- energy relative to the elements, uncorrected (eV/atom) = -0.838

The following is a GGA-PBEsol calculation of crystalline LaSi2Ni at its relaxed geometry, from the Alexandria database.

a = 3.1850 Å, b = 3.1850 Å, c = 6.6736 Å
α = 90.00°, β = 90.00°, γ = 90.00°
With the nearest neighbours (Å) after each atom.
Positions (direct):
La: 0.0000 0.0000 0.0000  5 Si 3.08-3.16, 4 La 3.19, 4 Ni 3.21
Si: 0.0000 0.0000 0.4735  4 Ni 2.41, 4 Si 2.66
Si: 0.5000 0.5000 0.6845  1 Ni 2.28
Ni: 0.5000 0.5000 0.3429  5 Si 2.28-2.41

- energy relative to the elements, uncorrected (eV/atom) = -0.345

The following is a GGA-PBEsol calculation of crystalline LaSiNi4 at its relaxed geometry, from the Alexandria database.

a = 4.8314 Å, b = 4.8314 Å, c = 3.9387 Å
α = 90.00°, β = 90.00°, γ = 115.54°
With the nearest neighbours (Å) after each atom.
Positions (direct):
La: 0.0000 0.0000 0.0000  14 Ni 2.79-3.12
Si: 0.5000 0.5000 0.5000  8 Ni 2.36-2.42
Ni: 0.0000 0.5000 0.5000  2 Si 2.42, 6 Ni 2.47-2.58
Ni: 0.3412 0.6588 0.0000  2 Si 2.36, 5 Ni 2.47-2.60
Ni: 0.5000 0.0000 0.5000  2 Si 2.42, 6 Ni 2.47-2.58
Ni: 0.6588 0.3412 0.0000  2 Si 2.36, 5 Ni 2.47-2.60

- energy relative to the elements, uncorrected (eV/atom) = -0.565

The following is a GGA-PBEsol calculation of crystalline La2Si3Ni at its relaxed geometry, from the Alexandria database.

a = 4.0488 Å, b = 4.0488 Å, c = 8.5699 Å
α = 90.00°, β = 90.00°, γ = 120.00°
With the nearest neighbours (Å) after each atom.
Positions (direct):
La: 0.0000 0.0000 0.2430  3 Ni 3.13, 9 Si 3.13-3.21
La: 0.0000 0.0000 0.7570  9 Si 3.13-3.21, 3 Ni 3.13
Si: 0.3333 0.6667 0.5000  3 Si 2.34
Si: 0.6667 0.3333 0.0000  3 Ni 2.34
Si: 0.6667 0.3333 0.5000  3 Si 2.34
Ni: 0.3333 0.6667 0.0000  3 Si 2.34

- energy relative to the elements, uncorrected (eV/atom) = -0.744

The following is a GGA-PBEsol calculation of crystalline LaNi5Sn at its relaxed geometry, from the Alexandria database.

a = 4.8683 Å, b = 4.8683 Å, c = 19.5929 Å
α = 90.00°, β = 90.00°, γ = 120.00°
With the nearest neighbours (Å) after each atom.
Positions (direct):
La: 0.0000 0.0000 0.0000  12 Ni 2.94-3.19, 6 Sn 3.29
La: 0.0000 0.0000 0.5000  12 Ni 2.94-3.19, 6 Sn 3.29
La: 0.3333 0.6667 0.2500  6 Ni 2.81
La: 0.6667 0.3333 0.7500  6 Ni 2.81
Ni: 0.0000 0.0000 0.2500  6 Ni 2.47
Ni: 0.0000 0.0000 0.7500  6 Ni 2.47
Ni: 0.1661 0.3322 0.6463  7 Ni 2.43-2.47, 2 Sn 2.69
Ni: 0.1661 0.3322 0.8537  7 Ni 2.43-2.47, 2 Sn 2.69
Ni: 0.1661 0.8339 0.6463  7 Ni 2.43-2.47, 2 Sn 2.69
Ni: 0.1661 0.8339 0.8537  7 Ni 2.43-2.47, 2 Sn 2.69
Ni: 0.3322 0.1661 0.1463  7 Ni 2.43-2.47, 2 Sn 2.69
Ni: 0.3322 0.1661 0.3537  7 Ni 2.43-2.47, 2 Sn 2.69
Ni: 0.3333 0.6667 0.5445  3 Ni 2.44, 1 Sn 2.58
Ni: 0.3333 0.6667 0.7500  6 Ni 2.47
Ni: 0.3333 0.6667 0.9555  3 Ni 2.44, 1 Sn 2.58
Ni: 0.6667 0.3333 0.0445  3 Ni 2.44, 1 Sn 2.58
Ni: 0.6667 0.3333 0.2500  6 Ni 2.47
Ni: 0.6667 0.3333 0.4555  3 Ni 2.44, 1 Sn 2.58
Ni: 0.6678 0.8339 0.6463  7 Ni 2.43-2.47, 2 Sn 2.69
Ni: 0.6678 0.8339 0.8537  7 Ni 2.43-2.47, 2 Sn 2.69
Ni: 0.8339 0.1661 0.1463  7 Ni 2.43-2.47, 2 Sn 2.69
Ni: 0.8339 0.1661 0.3537  7 Ni 2.43-2.47, 2 Sn 2.69
Ni: 0.8339 0.6678 0.1463  7 Ni 2.43-2.47, 2 Sn 2.69
Ni: 0.8339 0.6678 0.3537  7 Ni 2.43-2.47, 2 Sn 2.69
Sn: 0.3333 0.6667 0.0875  7 Ni 2.58-2.69
Sn: 0.3333 0.6667 0.4125  7 Ni 2.58-2.69
Sn: 0.6667 0.3333 0.5875  7 Ni 2.58-2.69
Sn: 0.6667 0.3333 0.9125  7 Ni 2.58-2.69

- energy of formation from the pure elements (meV per atom) = -350

The following is a GGA-PBEsol calculation of crystalline LaNi2Sn2 at its relaxed geometry, from the Alexandria database.

a = 6.0272 Å, b = 6.0272 Å, c = 6.0272 Å
α = 136.87°, β = 136.87°, γ = 62.64°
With the nearest neighbours (Å) after each atom.
Positions (direct):
La: 0.0000 0.0000 0.0000  8 Ni 3.40, 10 Sn 3.44-3.72
Ni: 0.2500 0.7500 0.5000  4 Sn 2.49
Ni: 0.7500 0.2500 0.5000  4 Sn 2.49
Sn: 0.3612 0.3612 0.0000  4 Ni 2.49
Sn: 0.6388 0.6388 0.0000  4 Ni 2.49

- energy of formation from the pure elements (meV per atom) = -541

The following is a GGA-PBEsol calculation of crystalline LaNi2Sn2 at its relaxed geometry, from the Alexandria database.

a = 4.4292 Å, b = 4.4292 Å, c = 10.0655 Å
α = 90.00°, β = 90.00°, γ = 90.00°
With the nearest neighbours (Å) after each atom.
Positions (direct):
La: 0.2500 0.2500 0.2403  8 Ni 3.28-3.40, 9 Sn 3.35-3.66
La: 0.7500 0.7500 0.7597  8 Ni 3.28-3.40, 9 Sn 3.35-3.66
Ni: 0.2500 0.2500 0.6276  5 Sn 2.50-2.56
Ni: 0.2500 0.7500 0.0000  4 Sn 2.54
Ni: 0.7500 0.2500 0.0000  4 Sn 2.54
Ni: 0.7500 0.7500 0.3724  5 Sn 2.50-2.56
Sn: 0.2500 0.2500 0.8764  5 Ni 2.50-2.54
Sn: 0.2500 0.7500 0.5000  4 Ni 2.56
Sn: 0.7500 0.2500 0.5000  4 Ni 2.56
Sn: 0.7500 0.7500 0.1236  5 Ni 2.50-2.54

- energy of formation from the pure elements (meV per atom) = -597

The following is a GGA-PBEsol calculation of crystalline SrLaNi4 at its relaxed geometry, from the Alexandria database.

a = 5.1186 Å, b = 5.1186 Å, c = 5.1186 Å
α = 60.00°, β = 60.00°, γ = 60.00°
With the nearest neighbours (Å) after each atom.
Positions (direct):
Sr: 0.0000 0.0000 0.0000  12 Ni 3.00, 4 La 3.13
La: 0.2500 0.2500 0.2500  12 Ni 3.00, 4 Sr 3.13
Ni: 0.1259 0.6247 0.6247  6 Ni 2.55-2.57
Ni: 0.6247 0.1259 0.6247  6 Ni 2.55-2.57
Ni: 0.6247 0.6247 0.1259  6 Ni 2.55-2.57
Ni: 0.6247 0.6247 0.6247  6 Ni 2.55-2.57

- energy of formation from the pure elements (meV per atom) = -156

The following is a GGA-PBEsol calculation of crystalline LaTa2Ni at its relaxed geometry, from the Alexandria database.

a = 3.0997 Å, b = 3.0997 Å, c = 7.9850 Å
α = 90.00°, β = 90.00°, γ = 90.00°
With the nearest neighbours (Å) after each atom.
Positions (direct):
La: 0.0000 0.0000 0.0000  4 La 3.10, 4 Ni 3.17, 4 Ta 3.33
Ta: 0.0000 0.0000 0.5508  4 Ni 2.54
Ta: 0.5000 0.5000 0.3147  8 Ta 2.89-3.10, 1 Ni 3.18
Ni: 0.5000 0.5000 0.7126  4 Ta 2.54

- energy of formation from the pure elements (meV per atom) = 131
- distance to the lowest polymorph of the same formula (eV per atom) = 0.000

The following is a GGA-PBEsol calculation of crystalline LaTa2Ni at its relaxed geometry, from the Alexandria database.

a = 5.0019 Å, b = 5.0019 Å, c = 5.7606 Å
α = 102.21°, β = 102.21°, γ = 34.86°
With the nearest neighbours (Å) after each atom.
Positions (direct):
La: 0.0000 0.0000 0.0000  3 Ni 2.97-3.21, 2 La 3.00, 3 Ta 3.17-3.18
Ta: 0.5390 0.5390 0.5314  2 Ni 2.56, 3 Ta 2.76-2.82
Ta: 0.7948 0.7948 0.3631  2 Ni 2.61, 3 Ta 2.76-2.82
Ni: 0.2521 0.2521 0.7127  4 Ta 2.56-2.61

- energy of formation from the pure elements (meV per atom) = 366
- distance to the lowest polymorph of the same formula (eV per atom) = 0.235

The following is a GGA-PBEsol calculation of crystalline LaTaNi2 at its relaxed geometry, from the Alexandria database.

a = 5.7551 Å, b = 5.7551 Å, c = 5.7551 Å
α = 42.23°, β = 42.23°, γ = 42.23°
With the nearest neighbours (Å) after each atom.
Positions (direct):
La: 0.0000 0.0000 0.0000  4 Ta 2.97-3.29, 4 Ni 3.16-3.17
Ta: 0.8105 0.8105 0.8105  6 Ni 2.42-2.56
Ni: 0.2016 0.2016 0.2016  3 Ni 2.46, 3 Ta 2.56
Ni: 0.4981 0.4981 0.4981  3 Ta 2.42, 3 Ni 2.46

- energy of formation from the pure elements (meV per atom) = -3
- distance to the lowest polymorph of the same formula (eV per atom) = 0.000

no.,M_tot (μB per cell)
1,0.00
2,0.00
3,0.00
4,0.00
5,0.00
6,0.02
7,0.00
8,0.00
9,0.00
10,0.00
11,0.00
12,0.00